# Tc2BiIrI

A PBEsol-optimized structure of Tc2BiIrI (SCAN, the Alexandria database).

Cell: 5.042 5.042 5.775 Å, 90.00 90.00 90.00°
Positions (direct):
Tc 0.000 0.500 0.000
Tc 0.500 0.000 0.000
Bi 0.000 0.000 0.000
Ir 0.500 0.500 0.500
I 0.000 0.000 0.500

* space-group type: No. 123
* ΔE_f (raw): 2762 meV per atom